# TiGe2Pd, relaxed, DFT PBE-GGA
# Energy of formation, meV/atom: -182
# VASP energy, eV/atom: -5.762
data_TiGe2Pd
_cell_length_a 4.011
_cell_length_b 4.011
_cell_length_c 9.262
_cell_angle_alpha 77.49
_cell_angle_beta 77.49
_cell_angle_gamma 90.00
_symmetry_space_group_name_H-M 'P 1'
_symmetry_Int_Tables_number 1
loop_
_symmetry_equiv_pos_as_xyz
'x,y,z'
loop_
_atom_site_label
_atom_site_fract_x
_atom_site_fract_y
_atom_site_fract_z
Ge1 0.626 0.125 0.250
Ge2 0.124 0.625 0.250
Ge3 0.375 0.374 0.750
Ge4 0.875 0.876 0.750
Pd1 0.000 0.000 0.000
Pd2 0.750 0.250 0.500
Ti1 0.500 0.500 0.000
Ti2 0.250 0.750 0.500

# TiGe2Pd, relaxed, DFT PBE-GGA
# Energy of formation, meV/atom: -272
# VASP energy, eV/atom: -5.853
data_TiGe2Pd
_cell_length_a 4.494
_cell_length_b 4.494
_cell_length_c 4.494
_cell_angle_alpha 60.00
_cell_angle_beta 60.00
_cell_angle_gamma 60.00
_symmetry_space_group_name_H-M 'P 1'
_symmetry_Int_Tables_number 1
loop_
_symmetry_equiv_pos_as_xyz
'x,y,z'
loop_
_atom_site_label
_atom_site_fract_x
_atom_site_fract_y
_atom_site_fract_z
Ge1 0.250 0.250 0.250
Ge2 0.750 0.750 0.750
Pd1 0.500 0.500 0.500
Ti1 0.000 0.000 0.000

# Ti2GePd2, relaxed, DFT PBE-GGA
# Energy of formation, meV/atom: -155
# VASP energy, eV/atom: -6.313
# Energy relative to the lowest polymorph listed for this composition, meV per atom: 294
data_Ti2GePd2
_cell_length_a 3.704
_cell_length_b 3.704
_cell_length_c 6.892
_cell_angle_alpha 74.41
_cell_angle_beta 74.41
_cell_angle_gamma 90.00
_symmetry_space_group_name_H-M 'P 1'
_symmetry_Int_Tables_number 1
loop_
_symmetry_equiv_pos_as_xyz
'x,y,z'
loop_
_atom_site_label
_atom_site_fract_x
_atom_site_fract_y
_atom_site_fract_z
Ge1 0.000 0.000 0.000
Pd1 0.750 0.250 0.500
Pd2 0.250 0.750 0.500
Ti1 0.400 0.400 0.199
Ti2 0.600 0.600 0.801

# TiGe2Pd7, relaxed, DFT PBE-GGA
# Energy of formation, meV/atom: -153
# VASP energy, eV/atom: -5.501
data_TiGe2Pd7
_cell_length_a 4.162
_cell_length_b 7.192
_cell_length_c 7.192
_cell_angle_alpha 118.43
_cell_angle_beta 90.00
_cell_angle_gamma 90.00
_symmetry_space_group_name_H-M 'P 1'
_symmetry_Int_Tables_number 1
loop_
_symmetry_equiv_pos_as_xyz
'x,y,z'
loop_
_atom_site_label
_atom_site_fract_x
_atom_site_fract_y
_atom_site_fract_z
Ti1 0.000 0.000 0.000
Ge1 0.500 0.693 0.307
Ge2 0.500 0.307 0.693
Pd1 0.000 0.787 0.213
Pd2 0.000 0.213 0.787
Pd3 0.500 0.072 0.296
Pd4 0.500 0.928 0.704
Pd5 0.500 0.296 0.072
Pd6 0.500 0.704 0.928
Pd7 0.500 0.500 0.500

The highest VASP energy belongs to which entry?
TiGe2Pd7

Among the records above, which one has the highest VASP energy?
TiGe2Pd7

Among the records above, which one has the highest energy of formation?
TiGe2Pd7

Look up the energy of formation of the fourth one.
-153 meV/atom